5
Lattice="5.007 0.000 0.000 0.000 5.007 0.000 0.000 0.000 4.990" Properties=species:S:1:pos:R:3 comment="BaInIr2Rh PBE relaxed" delta_e_f_ev_per_fu=2.853 spacegroup="No. 123" crystal_system=tetragonal pbc="T T T"
Ba 0.000 0.000 0.000
In 2.504 2.504 0.000
Ir 0.000 2.504 2.495
Ir 2.504 0.000 2.495
Rh 2.504 2.504 2.495